The following is a DFT calculation (GGA-PBE) of a relaxed ScSnGe crystal.

The space group is P3m1 (156). The density of states at the Fermi level comes out at 2.97 states/eV per cell. The volume comes out at 23.28 Å³/atom. For the mass density, the calculation gives 5.6 g/cm³. For the energy of formation from the pure elements, the calculation gives -175 meV per atom. The value obtained for the energy above the lowest structure with this stoichiometry is 1.00 eV/f.u.

Lattice parameters (Å, degrees): 4.425 4.425 4.120 90.00 90.00 120.00
Element x y z (fractional)
Sc (0.000, 0.000, 0.000)
Sn (0.333, 0.667, 0.433)
Ge (0.667, 0.333, 0.769)

=====

The following is a DFT calculation (GGA-PBE) of a relaxed AlZn2Ni crystal.

The space group is Cm (8). The density of states at the Fermi level comes out at 1.20 states/eV per cell. The volume comes out at 13.56 Å³/atom. For the mass density, the calculation gives 6.6 g/cm³. For the energy of formation from the pure elements, the calculation gives -172 meV per atom.

Lattice parameters (Å, degrees): 4.573 4.573 4.534 102.05 102.05 35.92
Element x y z (fractional)
Al (0.000, 0.000, 0.000)
Zn (0.237, 0.237, 0.705)
Zn (0.478, 0.478, 0.469)
Ni (0.736, 0.736, 0.198)

=====

The following is a DFT calculation (GGA-PBE) of a relaxed MgBeS2 crystal.

The space group is P1 (1). The density of states at the Fermi level comes out at 0.00 states/eV per cell. The volume comes out at 17.31 Å³/atom. For the mass density, the calculation gives 2.3 g/cm³. For the formation energy without anion corrections, the calculation gives -1.0776 eV/atom. The value obtained for the energy above the lowest structure with this stoichiometry is 0.41 eV/f.u.

Lattice parameters (Å, degrees): 3.555 3.679 6.315 77.96 73.87 61.16
Element x y z (fractional)
Mg (0.000, 0.000, 0.000)
Be (0.900, 0.720, 0.473)
S (0.280, 0.093, 0.340)
S (0.755, 0.678, 0.809)

=====

The following is a DFT calculation (GGA-PBE) of a relaxed NdThB crystal.

The space group is Cmcm (63). The density of states at the Fermi level comes out at 5.49 states/eV per cell. The volume comes out at 24.80 Å³/atom. For the mass density, the calculation gives 8.6 g/cm³. For the energy of formation from the pure elements, the calculation gives -160 meV per atom.

Lattice parameters (Å, degrees): 12.221 12.221 3.335 90.00 90.00 162.62
Element x y z (fractional)
Nd (0.196, 0.804, 0.750)
Nd (0.804, 0.196, 0.250)
Th (0.432, 0.568, 0.750)
Th (0.568, 0.432, 0.250)
B (0.014, 0.986, 0.750)
B (0.986, 0.014, 0.250)

=====

The following is a DFT calculation (GGA-PBE) of a relaxed Sr2BiI crystal.

The space group is R3m (160). The volume comes out at 43.01 Å³/atom. For the mass density, the calculation gives 4.9 g/cm³. For the formation energy without anion corrections, the calculation gives -1.1768 eV/atom.

Lattice parameters (Å, degrees): 8.846 8.846 8.846 31.93 31.93 31.93
Element x y z (fractional)
Sr (0.000, 0.000, 0.000)
Sr (0.194, 0.194, 0.194)
Bi (0.597, 0.597, 0.597)
I (0.770, 0.770, 0.770)

=====

The following is a DFT calculation (GGA-PBE) of a relaxed Dy3Al9Ir2 crystal.

The space group is Immm (71). The density of states at the Fermi level comes out at 3.84 states/eV per cell. The volume comes out at 18.34 Å³/atom. For the mass density, the calculation gives 7.2 g/cm³. For the energy of formation from the pure elements, the calculation gives -661 meV per atom.

Lattice parameters (Å, degrees): 8.129 8.129 8.129 149.32 106.82 81.41
Element x y z (fractional)
Dy (0.000, 0.000, 0.000)
Dy (0.295, 0.295, 0.000)
Dy (0.705, 0.705, 0.000)
Al (0.012, 0.650, 0.362)
Al (0.154, 0.870, 0.284)
Al (0.288, 0.650, 0.638)
Al (0.414, 0.130, 0.284)
Al (0.500, 0.000, 0.500)
Al (0.586, 0.870, 0.716)
Al (0.712, 0.350, 0.362)
Al (0.846, 0.130, 0.716)
Al (0.988, 0.350, 0.638)
Ir (0.322, 0.500, 0.822)
Ir (0.678, 0.500, 0.178)

=====

The following is a DFT calculation (GGA-PBE) of a relaxed BaSr crystal.

The space group is Pm-3n (223). The density of states at the Fermi level comes out at 25.41 states/eV per cell. The volume comes out at 148.03 Å³/atom. For the mass density, the calculation gives 1.3 g/cm³. For the energy of formation from the pure elements, the calculation gives 1028 meV per atom. The value obtained for the energy above the lowest structure with this stoichiometry is 2.06 eV/f.u.

Lattice parameters (Å, degrees): 12.111 12.111 12.111 90.00 90.00 90.00
Element x y z (fractional)
Ba (0.000, 0.250, 0.500)
Ba (0.000, 0.750, 0.500)
Ba (0.250, 0.500, 0.000)
Ba (0.500, 0.000, 0.250)
Ba (0.500, 0.000, 0.750)
Ba (0.750, 0.500, 0.000)
Sr (0.000, 0.500, 0.250)
Sr (0.000, 0.500, 0.750)
Sr (0.250, 0.000, 0.500)
Sr (0.500, 0.250, 0.000)
Sr (0.500, 0.750, 0.000)
Sr (0.750, 0.000, 0.500)

=====

The following is a DFT calculation (GGA-PBE) of a relaxed ZrRhBr2 crystal.

The space group is R3m (160). The density of states at the Fermi level comes out at 1.12 states/eV per cell. The volume comes out at 27.01 Å³/atom. For the mass density, the calculation gives 5.4 g/cm³. For the formation energy without anion corrections, the calculation gives -0.6181 eV/atom. The value obtained for the energy above the lowest structure with this stoichiometry is 0.31 eV/f.u.

Lattice parameters (Å, degrees): 8.374 8.374 8.374 27.17 27.17 27.17
Element x y z (fractional)
Zr (0.000, 0.000, 0.000)
Rh (0.282, 0.282, 0.282)
Br (0.558, 0.558, 0.558)
Br (0.744, 0.744, 0.744)